Record 1
A plane-wave DFT calculation with GGA-PBE was carried out for CaRe2O6 after structural relaxation.

Cell: 4.917 5.326 5.326 Å, 120.00 90.00 90.00°
Fractional coordinates of all 9 atoms:
Ca  0.000  0.000  0.000
O  0.289  0.629  0.000
Re  0.500  0.667  0.333
O  0.289  0.371  0.371
O  0.711  0.629  0.629
Re  0.500  0.333  0.667
O  0.711  0.000  0.371
O  0.711  0.371  0.000
O  0.289  0.000  0.629

Uncorrected formation energy: -1.78 eV/atom
Calculated total energy: -72.6 eV per cell
Space group: No. 162
Fermi-level density of states: 0.371 states/eV per atom


Record 2
A plane-wave DFT calculation with GGA-PBE was carried out for MnNb3Co after structural relaxation.

Cell: 4.533 4.533 4.533 Å, 90.00 90.00 90.00°
Fractional coordinates of all 5 atoms:
Co  0.000  0.000  0.000
Nb  0.000  0.500  0.000
Nb  0.500  0.000  0.000
Nb  0.000  0.000  0.500
Mn  0.500  0.500  0.500

Distance to the lowest polymorph of the same formula: 0.327 eV/f.u.
Calculated total energy: -41.0 eV per cell
E_form: 1.092 eV per atom
Space group: No. 221
Fermi-level density of states: 1.914 states/eV per atom


Record 3
A plane-wave DFT calculation with GGA-PBE was carried out for TaTePt after structural relaxation.

Cell: 4.061 4.055 9.199 Å, 90.00 90.00 120.05°
Fractional coordinates of all 6 atoms:
Te  0.611  0.223  0.676
Pt  0.278  0.555  0.145
Te  0.611  0.223  0.324
Ta  0.611  0.222  0.000
Ta  0.278  0.556  0.500
Pt  0.278  0.555  0.855

Uncorrected formation energy: -0.02 eV/atom
Distance to the lowest polymorph of the same formula: 0.189 eV/f.u.
Calculated total energy: -42.2 eV per cell
Space group: No. 38
Fermi-level density of states: 1.038 states/eV per atom


Record 4
A plane-wave DFT calculation with GGA-PBE was carried out for MgFeNi2 after structural relaxation.

Cell: 6.133 4.337 2.709 Å, 89.98 63.81 124.69°
Fractional coordinates of all 4 atoms:
Mg  0.500  0.500  0.000
Ni  0.500  0.000  0.500
Fe  0.000  0.500  0.500
Ni  0.000  0.000  0.000

Calculated total energy: -21.7 eV per cell
E_form: -0.020 eV per atom
Space group: No. 65
Fermi-level density of states: 0.795 states/eV per atom


Record 5
A plane-wave DFT calculation with GGA-PBE was carried out for Zr2PbCl after structural relaxation.

Cell: 4.982 4.982 4.982 Å, 60.00 60.00 60.00°
Fractional coordinates of all 4 atoms:
Zr  0.250  0.250  0.250
Zr  0.750  0.750  0.750
Pb  0.500  0.500  0.500
Cl  0.000  0.000  0.000

Uncorrected formation energy: -0.27 eV/atom
Distance to the lowest polymorph of the same formula: 0.956 eV/f.u.
Calculated total energy: -23.7 eV per cell
Space group: No. 225
Fermi-level density of states: 0.626 states/eV per atom